1.
## Li4AcIn2Ga (GGA-PBE)

Data for an optimized crystal structure of Li4AcIn2Ga.

```
data_Li4AcIn2Ga
_chemical_formula_sum 'Li4 Ac1 In2 Ga1'
_space_group_name_H-M_alt 'P 1'
_space_group_IT_number 1
_cell_length_a 4.693
_cell_length_b 4.693
_cell_length_c 9.699
_cell_angle_alpha 76.00
_cell_angle_beta 76.00
_cell_angle_gamma 60.00
loop_
_space_group_symop_operation_xyz
'x,y,z'
loop_
_atom_site_label
_atom_site_type_symbol
_atom_site_fract_x
_atom_site_fract_y
_atom_site_fract_z
In1 In 0.245 0.245 0.264
In2 In 0.755 0.755 0.736
Ac1 Ac 0.000 0.000 0.000
Li1 Li 0.864 0.864 0.409
Li2 Li 0.590 0.590 0.230
Li3 Li 0.136 0.136 0.591
Li4 Li 0.410 0.410 0.770
Ga1 Ga 0.500 0.500 0.500
```

Values from the calculation:
For the formation energy, the calculation gives -242 meV per atom. For the spin magnetization, the calculation gives 0.00 μB/f.u. The space group is R-3m. Its crystal system is trigonal. The value obtained for the calculated volume is 22.2 Å³ per atom.

2.
## ScIn2Ir (GGA-PBE)

Data for an optimized crystal structure of ScIn2Ir.

```
data_ScIn2Ir
_chemical_formula_sum 'Sc1 In2 Ir1'
_space_group_name_H-M_alt 'P 1'
_space_group_IT_number 1
_cell_length_a 5.151
_cell_length_b 5.151
_cell_length_c 4.219
_cell_angle_alpha 65.82
_cell_angle_beta 65.82
_cell_angle_gamma 51.11
loop_
_space_group_symop_operation_xyz
'x,y,z'
loop_
_atom_site_label
_atom_site_type_symbol
_atom_site_fract_x
_atom_site_fract_y
_atom_site_fract_z
Sc1 Sc 0.260 0.260 0.240
Ir1 Ir 0.493 0.493 0.507
In1 In 0.746 0.746 0.754
In2 In 0.001 0.001 0.999
```

Values from the calculation:
For the formation energy, the calculation gives -310 meV per atom. For the spin magnetization, the calculation gives 0.00 μB/f.u. The space group is Imm2. Its crystal system is orthorhombic. The value obtained for the calculated volume is 19.4 Å³ per atom.

3.
## Pr2Tm3Al (GGA-PBE)

Data for an optimized crystal structure of Pr2Tm3Al.

```
data_Pr2Tm3Al
_chemical_formula_sum 'Pr2 Tm3 Al1'
_space_group_name_H-M_alt 'P 1'
_space_group_IT_number 1
_cell_length_a 4.886
_cell_length_b 4.832
_cell_length_c 7.846
_cell_angle_alpha 107.93
_cell_angle_beta 90.00
_cell_angle_gamma 90.00
loop_
_space_group_symop_operation_xyz
'x,y,z'
loop_
_atom_site_label
_atom_site_type_symbol
_atom_site_fract_x
_atom_site_fract_y
_atom_site_fract_z
Tm1 Tm 0.500 0.500 0.000
Tm2 Tm 0.500 0.839 0.679
Tm3 Tm 0.500 0.161 0.321
Pr1 Pr 0.000 0.340 0.681
Pr2 Pr 0.000 0.660 0.319
Al1 Al 0.000 0.000 0.000
```

Values from the calculation:
For the formation energy, the calculation gives -72 meV per atom. For the spin magnetization, the calculation gives 0.00 μB/f.u. The space group is Cmmm. Its crystal system is orthorhombic. The value obtained for the calculated volume is 29.4 Å³ per atom.

4.
## SiMoH2 (GGA-PBE)

Data for an optimized crystal structure of SiMoH2.

```
data_SiMoH2
_chemical_formula_sum 'Si2 Mo2 H4'
_space_group_name_H-M_alt 'P 1'
_space_group_IT_number 1
_cell_length_a 4.389
_cell_length_b 4.389
_cell_length_c 4.970
_cell_angle_alpha 63.80
_cell_angle_beta 63.80
_cell_angle_gamma 90.00
loop_
_space_group_symop_operation_xyz
'x,y,z'
loop_
_atom_site_label
_atom_site_type_symbol
_atom_site_fract_x
_atom_site_fract_y
_atom_site_fract_z
H1 H 0.632 0.125 0.250
H2 H 0.375 0.368 0.750
H3 H 0.118 0.625 0.250
H4 H 0.875 0.882 0.750
Mo1 Mo 0.000 0.000 0.000
Mo2 Mo 0.750 0.250 0.500
Si1 Si 0.500 0.500 0.000
Si2 Si 0.250 0.750 0.500
```

Values from the calculation:
For the spin magnetization, the calculation gives 0.00 μB/f.u. The polymorph energy (0 for the lowest one) comes out at 0 meV/atom. The space group is I-42d. Its crystal system is tetragonal. The value obtained for the calculated volume is 9.3 Å³ per atom.

5.
## ScCu2Pb (GGA-PBE)

Data for an optimized crystal structure of ScCu2Pb.

```
data_ScCu2Pb
_chemical_formula_sum 'Sc1 Cu2 Pb1'
_space_group_name_H-M_alt 'P 1'
_space_group_IT_number 1
_cell_length_a 8.670
_cell_length_b 8.670
_cell_length_c 8.670
_cell_angle_alpha 22.24
_cell_angle_beta 22.24
_cell_angle_gamma 22.24
loop_
_space_group_symop_operation_xyz
'x,y,z'
loop_
_atom_site_label
_atom_site_type_symbol
_atom_site_fract_x
_atom_site_fract_y
_atom_site_fract_z
Cu1 Cu 0.493 0.493 0.493
Cu2 Cu 0.007 0.007 0.007
Sc1 Sc 0.750 0.750 0.750
Pb1 Pb 0.250 0.250 0.250
```

Values from the calculation:
For the formation energy, the calculation gives 150 meV per atom. For the spin magnetization, the calculation gives 0.00 μB/f.u. The space group is R-3m. Its crystal system is trigonal. The value obtained for the calculated volume is 20.5 Å³ per atom.

6.
## YLuPb2 (GGA-PBE)

Data for an optimized crystal structure of YLuPb2.

```
data_YLuPb2
_chemical_formula_sum 'Y1 Lu1 Pb2'
_space_group_name_H-M_alt 'P 1'
_space_group_IT_number 1
_cell_length_a 4.369
_cell_length_b 5.055
_cell_length_c 5.055
_cell_angle_alpha 90.00
_cell_angle_beta 90.00
_cell_angle_gamma 90.00
loop_
_space_group_symop_operation_xyz
'x,y,z'
loop_
_atom_site_label
_atom_site_type_symbol
_atom_site_fract_x
_atom_site_fract_y
_atom_site_fract_z
Lu1 Lu 0.500 0.500 0.500
Y1 Y 0.500 0.000 0.000
Pb1 Pb 0.000 0.000 0.500
Pb2 Pb 0.000 0.500 0.000
```

Values from the calculation:
For the formation energy, the calculation gives -389 meV per atom. For the spin magnetization, the calculation gives 0.00 μB/f.u. The space group is P4/mmm. Its crystal system is tetragonal. The value obtained for the calculated volume is 27.9 Å³ per atom.

7.
## Na3Ga4Pt4 (GGA-PBE)

Data for an optimized crystal structure of Na3Ga4Pt4.

```
data_Na3Ga4Pt4
_chemical_formula_sum 'Na3 Ga4 Pt4'
_space_group_name_H-M_alt 'P 1'
_space_group_IT_number 1
_cell_length_a 6.699
_cell_length_b 6.699
_cell_length_c 6.699
_cell_angle_alpha 109.47
_cell_angle_beta 109.47
_cell_angle_gamma 109.47
loop_
_space_group_symop_operation_xyz
'x,y,z'
loop_
_atom_site_label
_atom_site_type_symbol
_atom_site_fract_x
_atom_site_fract_y
_atom_site_fract_z
Ga1 Ga 0.000 0.000 0.624
Ga2 Ga 0.624 0.000 0.000
Ga3 Ga 0.376 0.376 0.376
Ga4 Ga 0.000 0.624 0.000
Na1 Na 0.500 0.000 0.500
Na2 Na 0.500 0.500 0.000
Na3 Na 0.000 0.500 0.500
Pt1 Pt 0.268 0.000 0.000
Pt2 Pt 0.732 0.732 0.732
Pt3 Pt 0.000 0.000 0.268
Pt4 Pt 0.000 0.268 0.000
```

Values from the calculation:
For the formation energy, the calculation gives -530 meV per atom. For the spin magnetization, the calculation gives 0.00 μB/f.u. The space group is I-43m. Its crystal system is cubic. The value obtained for the calculated volume is 21.0 Å³ per atom.

8.
## ReHg2P (GGA-PBE)

Data for an optimized crystal structure of ReHg2P.

```
data_ReHg2P
_chemical_formula_sum 'Re1 Hg2 P1'
_space_group_name_H-M_alt 'P 1'
_space_group_IT_number 1
_cell_length_a 7.784
_cell_length_b 7.784
_cell_length_c 7.784
_cell_angle_alpha 159.02
_cell_angle_beta 151.22
_cell_angle_gamma 35.88
loop_
_space_group_symop_operation_xyz
'x,y,z'
loop_
_atom_site_label
_atom_site_type_symbol
_atom_site_fract_x
_atom_site_fract_y
_atom_site_fract_z
Hg1 Hg 0.319 0.319 0.000
Hg2 Hg 0.681 0.681 0.000
Re1 Re 0.500 0.000 0.500
P1 P 0.000 0.500 0.500
```

Values from the calculation:
For the formation energy, the calculation gives 332 meV per atom. For the spin magnetization, the calculation gives 0.00 μB/f.u. The space group is Immm. Its crystal system is orthorhombic. The value obtained for the calculated volume is 20.3 Å³ per atom.